BaIrRh2 | PBE | optimized geometry

a b c (Å): 5.115 5.115 2.988
angles (deg): 90.00 90.00 106.36
Positions (direct):
Ba 0.000 0.000 0.500
Ir 0.500 0.500 0.500
Rh 0.500 0.000 0.000
Rh 0.000 0.500 0.000

ΔE to the lowest computed polymorph = 0.574 eV per atom
Formation enthalpy at 0 K = 0.552 eV per atom
Size of the total moment = 0.0 μB per cell